[1]
SmSiPt3: relaxed, PBE.

abc: 5.7515 6.6816 5.1136
angles: 90.00 90.00 90.00
Fractional positions:
Sm 0.0000 0.0000 0.0000
Sm 0.5000 0.5000 0.0000
Si 0.0000 0.5000 0.5000
Si 0.5000 0.0000 0.5000
Pt 0.0000 0.5000 0.0000
Pt 0.1418 0.1725 0.5000
Pt 0.3582 0.6725 0.5000
Pt 0.5000 0.0000 0.0000
Pt 0.6418 0.3275 0.5000
Pt 0.8582 0.8275 0.5000

Computed properties:
M_tot: 0.0 μB/f.u.
Relative energy among the computed polymorphs: 318 meV/atom
Crystal system: orthorhombic


[2]
TlCdIn: relaxed, PBE.

abc: 5.5502 5.5502 6.2655
angles: 90.00 90.00 120.00
Fractional positions:
Tl 0.3333 0.6667 0.2500
Tl 0.6667 0.3333 0.7500
Cd 0.0000 0.0000 0.0000
Cd 0.0000 0.0000 0.5000
In 0.3333 0.6667 0.7500
In 0.6667 0.3333 0.2500

Computed properties:
M_tot: 0.0 μB/f.u.
Formation energy from the elements: 0.089 eV per atom
Crystal system: hexagonal


[3]
LiLaCdPd2: relaxed, PBE.

abc: 7.4837 7.4837 5.4902
angles: 90.00 90.00 135.69
Fractional positions:
Li 0.0000 0.0000 0.0000
Li 0.5000 0.5000 0.0000
La 0.2500 0.7500 0.7498
La 0.7500 0.2500 0.2502
Cd 0.2500 0.2500 0.5000
Cd 0.7500 0.7500 0.5000
Pd 0.1516 0.8484 0.2611
Pd 0.3484 0.6516 0.2611
Pd 0.6516 0.3484 0.7389
Pd 0.8484 0.1516 0.7389

Computed properties:
M_tot: 0.0 μB/f.u.
Formation energy from the elements: -0.553 eV per atom
Crystal system: orthorhombic